No. 1
An optimized crystal structure of TiMn3C, computed with PBE.

POSCAR file:
```
TiMn3C
1.0
4.4563 0.0000 0.0000
0.0000 4.4563 0.0000
0.0000 0.0000 4.4563
Ti C Mn
1 1 3
Direct
0.0000 0.0000 0.0000
0.5000 0.5000 0.5000
0.5000 0.0000 0.0000
0.0000 0.0000 0.5000
0.0000 0.5000 0.0000
```

E above lowest polymorph   12.335 eV/f.u.


No. 2
An optimized crystal structure of Li2Zn4Ag, computed with PBE.

POSCAR file:
```
Li2Zn4Ag
1.0
-0.3602 -2.8500 -5.8139
-4.1471 -4.3601 2.4176
0.2667 5.1974 1.0762
Zn Ag Li
4 1 2
Direct
0.6972 0.6972 0.9993
0.3005 0.6995 0.0000
0.6995 0.3005 0.0000
0.3028 0.3028 0.0006
0.0000 0.9999 0.9999
0.7489 0.2511 0.5000
0.2511 0.7490 0.5000
```

E above lowest polymorph   0.186 eV/f.u.


It is found that the ΔE_f values, taken in the order of the records, are 2.27, -0.04 eV per atom.
It is found that the V values, taken in the order of the records, are 17.7, 15.7 Å³ per atom.